HgC2: relaxed, PBE.

Results
Crystal system: trigonal
Final energy, eV/atom: -4.525
Volume, Å³ per cell: 182.1
E above lowest polymorph, meV per atom: 1187
Total magnetic moment, μB per cell: 0.0
Formation energy from the elements, eV/atom: 1.7245

```
data_HgC2
_cell_length_a 4.0862
_cell_length_b 4.0862
_cell_length_c 12.5937
_cell_angle_alpha 90.00
_cell_angle_beta 90.00
_cell_angle_gamma 120.00
_space_group_name_H-M_alt 'R 3 m'
_space_group_IT_number 160
_space_group_name_Hall 'R 3 -2"'
loop_
_atom_site_label
_atom_site_fract_x
_atom_site_fract_y
_atom_site_fract_z
Hg1 0.0000 0.0000 0.0000
C1 0.0000 0.0000 0.2938
C2 0.0000 0.0000 0.3962
```

KLi2VSe4: relaxed, PBE.

Results
Crystal system: tetragonal
Final energy, eV/atom: -4.461
Volume, Å³ per cell: 424.0
Total magnetic moment, μB per cell: 0.0

```
data_KLi2VSe4
_cell_length_a 6.9416
_cell_length_b 6.9416
_cell_length_c 8.7984
_cell_angle_alpha 90.00
_cell_angle_beta 90.00
_cell_angle_gamma 90.00
_space_group_name_H-M_alt 'I -4 2 m'
_space_group_IT_number 121
_space_group_name_Hall 'I -4 2'
loop_
_atom_site_label
_atom_site_fract_x
_atom_site_fract_y
_atom_site_fract_z
K1 0.0000 0.0000 0.0000
Li1 0.0000 0.5000 0.2500
V1 0.0000 0.0000 0.5000
Se1 0.1905 0.1905 0.6524
```